# 1
First-principles (PBE-GGA) data for crystalline Mn2IrOs2 at its relaxed geometry, as listed in the Alexandria database.

* space-group type: P4/mbm (127)
* energy above the most stable polymorph in this dataset: 0.082 eV/atom
* theoretical density: 16.75 g/cm3

POSCAR file:
```
Mn2IrOs2
1.0
7.097 0.000 0.000
0.000 7.097 0.000
0.000 0.000 2.686
Mn Os Ir
4 4 2
direct
0.831 0.331 0.500
0.331 0.169 0.500
0.669 0.831 0.500
0.169 0.669 0.500
0.872 0.628 0.000
0.128 0.372 0.000
0.628 0.128 0.000
0.372 0.872 0.000
0.500 0.500 0.000
0.000 0.000 0.000
```

# 2
First-principles (PBE-GGA) data for crystalline MnIr2Os at its relaxed geometry, as listed in the Alexandria database.

* space-group type: Pmmm (47)
* theoretical density: 18.02 g/cm3

POSCAR file:
```
MnIr2Os
1.0
2.785 0.000 0.000
0.000 4.597 0.000
0.000 0.000 4.533
Ir Mn Os
2 1 1
direct
0.000 0.000 0.000
0.500 0.500 0.000
0.500 0.000 0.500
0.000 0.500 0.500
```

# 3
First-principles (PBE-GGA) data for crystalline MnIr2Os at its relaxed geometry, as listed in the Alexandria database.

* space-group type: Pmmm (47)
* theoretical density: 18.66 g/cm3

POSCAR file:
```
MnIr2Os
1.0
-1.616 1.709 -1.385
1.666 -1.055 -3.246
-3.653 -3.937 -0.596
Ir Mn Os
2 1 1
direct
0.000 0.000 0.499
0.000 0.000 0.001
0.500 0.500 0.250
0.500 0.500 0.750
```

Computed V, in the same sequence as the records: 135.3; 58.0; 56.0 Å³/cell.
Computed energy relative to the elements, in the same sequence as the records: 0.24; 0.29; -0.08 eV per atom.